The following is a GGA-PBE calculation of a relaxed CrCoOs2 crystal, from Alexandria via LeMat-Bulk.

Output
E: -38.747 eV/cell
Energy of formation: 110 meV/atom
Density: 15883 kg/m³

Cell lengths 2.655, 3.705, 5.223 Å; angles 90.00, 90.00, 90.00 degrees
Element x y z (fractional)
Co (0.000, 0.000, 0.509)
Cr (0.500, 0.500, 0.732)
Os (0.000, 0.000, 0.995)
Os (0.500, 0.500, 0.264)